Entry 1:
Compound: Pm2Si3Pt2
Source: Alexandria
Functional: GGA-PBE
Structure: optimized geometry

extended XYZ file:
```
7
Lattice="4.199 0.000 0.000 -2.099 5.251 -0.114 0.000 -2.555 6.048" Properties=species:S:1:pos:R:3 pbc="T T T"
Pm 2.099 3.084 1.241
Pm 0.000 -0.388 4.694
Si 2.099 0.000 0.000
Si 2.099 -0.029 2.623
Si 0.000 2.725 3.311
Pt 2.099 1.879 4.418
Pt 0.000 0.817 1.517
```

Computed properties:
Space group: C2/m (12)
Raw formation energy: -0.85 eV per atom
Final energy: -43.8 eV per cell
Total magnetic moment: 0.000 μB/cell
Polymorph energy (0 for the lowest one): 135 meV/atom



Entry 2:
Compound: PmSi2Pt2
Source: Alexandria
Functional: GGA-PBE
Structure: optimized geometry

extended XYZ file:
```
10
Lattice="-2.366 3.256 -1.420 -3.387 -2.583 -0.279 -2.466 2.235 9.232" Properties=species:S:1:pos:R:3 pbc="T T T"
Pm -1.787 2.176 1.553
Pm -3.555 0.396 6.829
Si -2.603 -0.467 3.266
Si -2.739 3.039 5.117
Si -2.876 0.337 -0.850
Si 0.000 0.000 0.000
Pt -4.109 1.454 3.766
Pt -1.233 1.118 4.616
Pt -1.993 -1.020 0.982
Pt -3.349 3.592 7.400
```

Computed properties:
Space group: P4/nmm (129)
Raw formation energy: -1.12 eV per atom
Final energy: -66.5 eV per cell
Total magnetic moment: 0.000 μB/cell
Polymorph energy (0 for the lowest one): 0 meV/atom



Entry 3:
Compound: Pm6Si3Pt
Source: Alexandria
Functional: GGA-PBE
Structure: optimized geometry

extended XYZ file:
```
20
Lattice="-1.393 -5.643 -3.634 3.597 -4.522 5.644 -9.018 -0.855 5.061" Properties=species:S:1:pos:R:3 pbc="T T T"
Pm -8.646 -5.294 3.326
Pm -5.425 -5.025 1.522
Pm -1.611 -5.958 1.331
Pm -5.205 -5.063 5.741
Pm -1.390 -5.996 5.550
Pm 1.831 -5.727 3.746
Pm -2.922 -2.695 3.424
Pm 0.278 -2.401 1.588
Pm -6.785 -1.852 3.541
Pm -0.030 -9.169 3.531
Pm -7.093 -8.620 5.484
Pm -3.893 -8.325 3.648
Si -4.304 -7.789 6.750
Si 1.102 -5.083 1.005
Si -2.511 -3.231 0.322
Si -0.081 -3.304 4.494
Si -4.509 -0.428 2.531
Si -6.735 -7.716 2.578
Pt -3.408 -5.510 3.536
Pt 0.000 0.000 0.000
```

Computed properties:
Space group: P2_1/c (14)
Raw formation energy: -0.56 eV per atom
Final energy: -112.9 eV per cell
Total magnetic moment: 0.002 μB/cell



Entry 4:
Compound: Pm4Si2Pt
Source: Alexandria
Functional: GGA-PBE
Structure: optimized geometry

extended XYZ file:
```
14
Lattice="7.738 -0.948 -0.166 -1.503 7.650 0.166 -2.996 -3.464 6.308" Properties=species:S:1:pos:R:3 pbc="T T T"
Pm 5.627 0.253 1.452
Pm 0.783 3.162 0.791
Pm -3.150 2.166 4.856
Pm 2.435 4.750 3.944
Pm 1.566 -0.693 2.364
Pm 0.102 -2.456 5.517
Pm 0.719 1.693 4.729
Pm 4.876 4.077 1.579
Si 2.578 -0.835 5.403
Si 2.220 5.749 0.904
Si 3.000 1.898 2.288
Si -1.320 -0.336 4.020
Pt -0.691 3.768 3.237
Pt 0.001 0.001 0.000
```

Computed properties:
Space group: I-42d (122)
Raw formation energy: -0.72 eV per atom
Final energy: -81.9 eV per cell
Total magnetic moment: 0.000 μB/cell



Entry 5:
Compound: Pm12Si6Pt
Source: Alexandria
Functional: GGA-PBE
Structure: optimized geometry

extended XYZ file:
```
19
Lattice="8.737 0.000 0.000 -2.912 8.237 0.000 -2.912 -4.119 7.134" Properties=species:S:1:pos:R:3 pbc="T T T"
Pm -0.134 -2.493 5.804
Pm 0.607 3.161 1.329
Pm 2.305 0.958 5.804
Pm 3.047 6.611 1.329
Pm -2.305 5.506 2.073
Pm 2.778 0.338 2.073
Pm 0.134 3.781 5.061
Pm 5.218 -1.387 5.061
Pm 5.959 1.964 0.744
Pm -0.607 0.429 3.402
Pm 3.519 3.689 3.732
Pm -3.047 2.154 6.390
Si -0.678 0.479 6.303
Si 3.590 3.639 0.830
Si 0.678 5.699 2.737
Si 2.234 -1.580 4.397
Si 5.147 1.100 3.567
Si -2.234 3.018 3.567
Pt 0.000 0.000 0.000
```

Computed properties:
Space group: Im-3 (204)
Raw formation energy: -0.53 eV per atom
Final energy: -105.6 eV per cell
Total magnetic moment: 0.003 μB/cell



Entry 6:
Compound: Pm3SiPt
Source: Alexandria
Functional: GGA-PBE
Structure: optimized geometry

extended XYZ file:
```
20
Lattice="-0.918 2.253 -5.968 4.865 -8.162 -3.830 -8.671 -1.196 0.882" Properties=species:S:1:pos:R:3 pbc="T T T"
Pm -3.955 -6.554 -1.950
Pm -0.768 -0.551 -6.966
Pm 2.101 -5.704 -6.041
Pm -6.825 -1.401 -2.875
Pm -4.737 -3.886 -4.258
Pm 0.013 -3.218 -4.658
Pm 2.895 -8.400 -3.656
Pm -7.619 1.295 -5.260
Pm -4.103 -3.076 -0.572
Pm -0.621 -4.028 -8.344
Pm -2.605 -1.047 -3.516
Pm -2.118 -6.058 -5.399
Si -2.647 -2.877 -6.262
Si -2.077 -4.228 -2.654
Si 0.260 -8.074 -5.191
Si -4.983 0.969 -3.724
Pt -6.365 -4.278 -1.991
Pt 1.641 -2.827 -6.924
Pt -0.690 1.005 -4.350
Pt -4.033 -8.110 -4.565
```

Computed properties:
Space group: P2_1/c (14)
Raw formation energy: -0.71 eV per atom
Final energy: -117.1 eV per cell
Total magnetic moment: 0.000 μB/cell



Entry 7:
Compound: PmSm2Si3Pt12
Source: Alexandria
Functional: GGA-PBE
Structure: optimized geometry

extended XYZ file:
```
18
Lattice="-1.492 7.322 -1.853 -6.501 1.001 -4.001 -5.742 3.185 4.019" Properties=species:S:1:pos:R:3 pbc="T T T"
Pm 0.000 0.000 0.000
Sm -8.185 6.858 -1.093
Sm -5.550 4.650 -0.741
Si -0.746 3.661 -0.926
Si -3.251 0.500 -2.000
Si -2.871 1.592 2.010
Pt -7.959 5.776 1.566
Pt -9.136 8.371 -3.327
Pt -11.008 6.549 -0.742
Pt -5.625 8.048 -1.659
Pt -8.802 9.332 0.204
Pt -8.376 4.576 -2.839
Pt -5.776 5.732 -3.400
Pt -4.599 3.137 1.493
Pt -2.727 4.959 -1.092
Pt -8.110 3.460 -0.175
Pt -4.933 2.175 -2.038
Pt -5.359 6.932 1.005
```

Computed properties:
Space group: R-3m (166)
Raw formation energy: -0.54 eV per atom
Final energy: -112.6 eV per cell
Total magnetic moment: 0.000 μB/cell



Entry 8:
Compound: Pm2SmSi3Pt12
Source: Alexandria
Functional: GGA-PBE
Structure: optimized geometry

extended XYZ file:
```
18
Lattice="-1.856 -0.646 -7.458 5.540 -3.047 -4.416 -1.385 -7.220 -2.331" Properties=species:S:1:pos:R:3 pbc="T T T"
Pm 1.372 -6.512 -8.476
Pm 0.927 -4.402 -5.729
Sm 0.000 0.000 0.000
Si -0.928 -0.323 -3.729
Si 2.770 -1.524 -2.208
Si -0.693 -3.610 -1.165
Pt 0.041 -7.785 -6.245
Pt 2.571 -6.082 -11.052
Pt 2.780 -8.999 -8.776
Pt -0.218 -4.168 -9.065
Pt -0.502 -7.933 -10.126
Pt 3.851 -5.489 -7.392
Pt 2.258 -3.129 -7.960
Pt -0.272 -4.832 -3.153
Pt -0.481 -1.915 -5.428
Pt 2.517 -6.746 -5.140
Pt 2.801 -2.980 -4.079
Pt -1.552 -5.425 -6.813
```

Computed properties:
Space group: R-3m (166)
Raw formation energy: -0.54 eV per atom
Final energy: -112.7 eV per cell
Total magnetic moment: 0.000 μB/cell